Pu2Co3C2 | PBE | optimized geometry

Calculated density ... 14.166 Mg/m³
Calculated formation energy ... 1.535 eV per formula unit
SG ... C2/m (12)
Total magnetization ... 0.00 μB per formula unit

Cell and atoms, written as POSCAR:
```
Pu2Co3C2
1.0
3.195 0.000 0.000
-1.597 4.681 -0.416
0.000 -2.665 5.635
Pu Co C
2 3 2
direct
0.829 0.658 0.154
0.171 0.342 0.846
0.500 0.000 0.000
0.633 0.266 0.441
0.367 0.734 0.559
0.861 0.722 0.746
0.139 0.278 0.254
```